Entry 1:
{
  "formula": "GdErMg4",
  "functional": "PBE",
  "state": "optimized geometry",
  "space_group": "Imm2 (44)",
  "crystal_system": "orthorhombic",
  "final_energy_ev_per_atom": -2.632,
  "lattice": [[-2.615, 3.287, 4.528], [2.615, -3.287, 4.528], [2.615, 3.287, -4.528]],
  "species": ["Gd", "Er", "Mg", "Mg", "Mg", "Mg"],
  "fractional_positions": [[0.000, 0.000, 0.000], [0.500, 0.000, 0.500], [0.083, 0.333, 0.750], [0.418, 0.667, 0.751], [0.583, 0.333, 0.250], [0.915, 0.667, 0.249]]
}



Entry 2:
{
  "formula": "PmNpAs",
  "functional": "PBE",
  "state": "optimized geometry",
  "space_group": "F-43m (216)",
  "crystal_system": "cubic",
  "final_energy_ev_per_atom": -7.695,
  "lattice": [[0.000, 3.472, 3.472], [3.472, 0.000, 3.472], [3.472, 3.472, 0.000]],
  "species": ["Pm", "Np", "As"],
  "fractional_positions": [[0.000, 0.000, 0.000], [0.500, 0.500, 0.500], [0.750, 0.750, 0.750]]
}



Entry 3:
{
  "formula": "Tm3CoTe5",
  "functional": "PBE",
  "state": "optimized geometry",
  "space_group": "P-62m (189)",
  "crystal_system": "hexagonal",
  "final_energy_ev_per_atom": -4.717,
  "lattice": [[8.515, 0.000, 0.000], [-4.258, 7.374, 0.000], [0.000, 0.000, 3.686]],
  "species": ["Tm", "Tm", "Tm", "Co", "Te", "Te", "Te", "Te", "Te"],
  "fractional_positions": [[0.000, 0.649, 0.000], [0.351, 0.351, 0.000], [0.649, 0.000, 0.000], [0.000, 0.000, 0.000], [0.000, 0.225, 0.500], [0.225, 0.000, 0.500], [0.333, 0.667, 0.500], [0.667, 0.333, 0.500], [0.775, 0.775, 0.500]]
}



Entry 4:
{
  "formula": "Sr3Li3Ni4Te4",
  "functional": "PBE",
  "state": "optimized geometry",
  "space_group": "Immm (71)",
  "crystal_system": "orthorhombic",
  "final_energy_ev_per_atom": -3.553,
  "lattice": [[-2.474, 4.460, 10.264], [2.474, -4.460, 10.264], [2.474, 4.460, -10.264]],
  "species": ["Sr", "Sr", "Sr", "Li", "Li", "Li", "Ni", "Ni", "Ni", "Ni", "Te", "Te", "Te", "Te"],
  "fractional_positions": [[0.000, 0.000, 0.000], [0.211, 0.211, 0.000], [0.789, 0.789, 0.000], [0.407, 0.907, 0.500], [0.500, 0.500, 0.000], [0.593, 0.093, 0.500], [0.082, 0.343, 0.739], [0.396, 0.657, 0.739], [0.604, 0.343, 0.261], [0.918, 0.657, 0.261], [0.105, 0.605, 0.500], [0.367, 0.367, 0.000], [0.633, 0.633, 0.000], [0.895, 0.395, 0.500]]
}



Entry 5:
{
  "formula": "LaPr2Zn3Pd2Au",
  "functional": "PBE",
  "state": "optimized geometry",
  "space_group": "Amm2 (38)",
  "crystal_system": "orthorhombic",
  "final_energy_ev_per_atom": -4.215,
  "e_form_ev_per_atom": -0.673,
  "lattice": [[4.041, 0.000, 0.000], [0.000, 6.514, 3.787], [0.000, -6.514, 3.787]],
  "species": ["La", "Pr", "Pr", "Zn", "Zn", "Zn", "Pd", "Pd", "Au"],
  "fractional_positions": [[0.000, 0.000, 0.000], [0.000, 0.413, 0.822], [0.000, 0.822, 0.413], [0.500, 0.161, 0.415], [0.500, 0.415, 0.161], [0.500, 0.660, 0.660], [0.500, 0.079, 0.748], [0.500, 0.748, 0.079], [0.000, 0.410, 0.410]]
}



Entry 6:
{
  "formula": "GdDyHo2Tl2",
  "functional": "PBE",
  "state": "optimized geometry",
  "space_group": "P-6m2 (187)",
  "crystal_system": "hexagonal",
  "final_energy_ev_per_atom": -4.115,
  "lattice": [[5.398, 0.000, 0.000], [-2.699, 4.675, 0.000], [0.000, 0.000, 6.710]],
  "species": ["Gd", "Dy", "Ho", "Ho", "Tl", "Tl"],
  "fractional_positions": [[0.000, 0.000, 0.000], [0.333, 0.667, 0.500], [0.667, 0.333, 0.251], [0.667, 0.333, 0.749], [0.000, 0.000, 0.500], [0.333, 0.667, 0.000]]
}



Entry 7:
{
  "formula": "LaNpNi",
  "functional": "PBE",
  "state": "optimized geometry",
  "space_group": "F-43m (216)",
  "crystal_system": "cubic",
  "final_energy_ev_per_atom": -6.948,
  "e_form_ev_per_atom": 0.805,
  "lattice": [[0.000, 3.142, 3.142], [3.142, 0.000, 3.142], [3.142, 3.142, 0.000]],
  "species": ["La", "Np", "Ni"],
  "fractional_positions": [[0.000, 0.000, 0.000], [0.250, 0.250, 0.250], [0.750, 0.750, 0.750]]
}



Entry 8:
{
  "formula": "Y3Cd2InAg3",
  "functional": "PBE",
  "state": "optimized geometry",
  "space_group": "Amm2 (38)",
  "crystal_system": "orthorhombic",
  "final_energy_ev_per_atom": -3.983,
  "lattice": [[3.912, 0.000, 0.000], [0.000, 6.827, 3.948], [0.000, -6.827, 3.948]],
  "species": ["Y", "Y", "Y", "Cd", "Cd", "In", "Ag", "Ag", "Ag"],
  "fractional_positions": [[0.000, 0.000, 0.000], [0.000, 0.193, 0.600], [0.000, 0.600, 0.193], [0.500, 0.598, 0.863], [0.500, 0.863, 0.598], [0.500, 0.337, 0.337], [0.000, 0.598, 0.598], [0.500, 0.266, 0.934], [0.500, 0.934, 0.266]]
}



Entry 9:
{
  "formula": "LaSm3Se3O4",
  "functional": "PBE",
  "state": "optimized geometry",
  "space_group": "Amm2 (38)",
  "crystal_system": "orthorhombic",
  "final_energy_ev_per_atom": -7.294,
  "lattice": [[8.375, 0.000, 0.000], [0.000, 1.989, 6.440], [0.000, -1.989, 6.440]],
  "species": ["La", "Sm", "Sm", "Sm", "Se", "Se", "Se", "O", "O", "O", "O"],
  "fractional_positions": [[0.000, 0.000, 0.000], [0.239, 0.686, 0.686], [0.500, 0.021, 0.021], [0.761, 0.686, 0.686], [0.000, 0.309, 0.309], [0.349, 0.359, 0.359], [0.651, 0.359, 0.359], [0.000, 0.592, 0.592], [0.248, 0.092, 0.092], [0.500, 0.618, 0.618], [0.752, 0.092, 0.092]]
}



It is found that the total magnetic moment values, taken in the order of the records, are 0.004, 1.773, 0.000, 0.071, 0.001, 0.214, 0.014, 0.006, 0.001 μB/atom.